# PBE-GGA LaRhCl, relaxed
# - raw total energy (eV per atom) = -5.52
# - ΔE_f (raw) (eV/f.u.) = -2.44
# - DOS at the Fermi energy (states/eV/atom) = 0.38
# - spin magnetization (μB/cell) = 0.00
data_LaRhCl
_chemical_formula_sum 'La1 Rh1 Cl1'
_cell_length_a 3.8939
_cell_length_b 3.8939
_cell_length_c 6.3711
_cell_angle_alpha 90.00
_cell_angle_beta 90.00
_cell_angle_gamma 120.00
_space_group_name_H-M_alt 'P 3 m 1'
_space_group_IT_number 156
loop_
_space_group_symop_operation_xyz
'x,y,z'
'-y,x-y,z'
'-x+y,-x,z'
'-y,-x,z'
'-x+y,y,z'
'x,x-y,z'
loop_
_atom_site_label
_atom_site_fract_x
_atom_site_fract_y
_atom_site_fract_z
La1 0.0000 0.0000 0.0000
Rh1 0.6667 0.3333 0.2414
Cl1 0.3333 0.6667 0.6992